## Tb2PmNd3P6 (GGA-PBE)

Data for an optimized crystal structure of Tb2PmNd3P6.

The structure in CIF format:
```
data_Tb2PmNd3P6
_symmetry_space_group_name_H-M 'P 1'
_symmetry_Int_Tables_number 1
_cell_length_a 7.129
_cell_length_b 7.129
_cell_length_c 7.129
_cell_angle_alpha 99.59
_cell_angle_beta 99.59
_cell_angle_gamma 119.99
loop_
_symmetry_equiv_pos_as_xyz
'x,y,z'
loop_
_atom_site_label
_atom_site_fract_x
_atom_site_fract_y
_atom_site_fract_z
Tb1 0.333 0.667 0.000
Tb2 0.667 0.333 0.000
Pm1 0.000 0.000 0.000
Nd1 0.166 0.834 0.500
Nd2 0.834 0.166 0.500
Nd3 0.500 0.500 0.500
P1 0.919 0.582 0.756
P2 0.744 0.744 0.243
P3 0.081 0.418 0.244
P4 0.582 0.919 0.756
P5 0.256 0.256 0.757
P6 0.418 0.081 0.244
```

Values from the calculation:
Final energy, eV/atom: -6.626
Space group: C2/m
Total magnetic moment, μB/f.u.: 0.0
Formation energy from the elements, eV/atom: -1.56
Crystal system: monoclinic